Record 1
A plane-wave DFT calculation with PBE was carried out for a relaxed structure of Cs2NaPS4.

Computed properties:
- uncorrected formation energy (eV/atom) = -0.93
- DFT total energy (eV/atom) = -4.0510

a = 6.423 Å, b = 13.758 Å, c = 25.179 Å
α = 90.00°, β = 90.00°, γ = 90.00°
Space group Fddd (No. 70, origin choice 2)
Inequivalent atoms, fractional coordinates:
Cs (0.125, 0.125, 0.305) (multiplicity 16)
Na (0.125, 0.125, 0.125) (multiplicity 8)
P (0.125, 0.125, 0.625) (multiplicity 8)
S (0.055, 0.286, 0.827) (multiplicity 32)

Record 2
A plane-wave DFT calculation with PBE was carried out for a relaxed structure of Cs3NaP2S6.

Computed properties:
- uncorrected formation energy (eV/atom) = -0.79
- DFT total energy (eV/atom) = -4.0794

a = 7.3456 Å, b = 7.3456 Å, c = 9.4855 Å
α = 90.00°, β = 90.00°, γ = 120.00°
Space group P-3m1 (No. 164)
Inequivalent atoms, fractional coordinates:
Cs (0.0000, 0.0000, 0.0000) (multiplicity 1)
Cs (0.3333, 0.6667, 0.6459) (multiplicity 2)
Na (0.0000, 0.0000, 0.5000) (multiplicity 1)
P (0.3333, 0.6667, 0.2446) (multiplicity 2)
S (0.1777, 0.3554, 0.2956) (multiplicity 6)

| no. | DOS(E_F) (states/eV/f.u.) |
| --- | --- |
| 1 | 0.00 |
| 2 | 4.76 |